KTaMo2 | the Alexandria database | meta-GGA SCAN | PBEsol geometry; mass density = 9.34 Mg/m³; excess energy over the best structure of this formula in the dataset = 92.3 kJ/mol of atoms; calculated formation energy = 1.6656 eV per atom
1.0
2.6553 0.0000 0.0000
0.0000 5.2161 0.0000
0.0000 0.0000 5.2861
K Ta Mo
1 1 2
direct
0.0000 0.0000 0.0000 K
0.5000 0.0000 0.5000 Ta
0.0000 0.5000 0.5000 Mo
0.5000 0.5000 0.0000 Mo

***

KTaMo | the Alexandria database | meta-GGA SCAN | PBEsol geometry; mass density = 7.79 Mg/m³; excess energy over the best structure of this formula in the dataset = 64.7 kJ/mol of atoms; calculated formation energy = 2.1752 eV per atom
1.0
0.0000 3.2300 3.2300
3.2300 0.0000 3.2300
3.2300 3.2300 0.0000
K Ta Mo
1 1 1
direct
0.0000 0.0000 0.0000 K
0.5000 0.5000 0.5000 Ta
0.7500 0.7500 0.7500 Mo

***

KTaMo | the Alexandria database | meta-GGA SCAN | PBEsol geometry; mass density = 8.93 Mg/m³; excess energy over the best structure of this formula in the dataset = 0.0 kJ/mol of atoms; calculated formation energy = 1.5048 eV per atom
1.0
5.0946 0.0000 0.0000
-2.5473 4.4121 0.0000
0.0000 0.0000 2.6146
K Ta Mo
1 1 1
direct
0.0000 0.0000 0.0000 K
0.6667 0.3333 0.4336 Ta
0.3333 0.6667 0.8867 Mo

***

KTaMo2 | the Alexandria database | meta-GGA SCAN | PBEsol geometry; mass density = 8.53 Mg/m³; excess energy over the best structure of this formula in the dataset = 58.8 kJ/mol of atoms; calculated formation energy = 1.3184 eV per atom
1.0
-1.4530 2.7264 5.0578
1.4530 -2.7264 5.0578
1.4530 2.7264 -5.0578
K Ta Mo
1 1 2
direct
0.0000 0.0000 0.0000 K
0.2979 0.7979 0.5000 Ta
0.5168 0.5168 0.0000 Mo
0.7143 0.2143 0.5000 Mo

***

KTaMo2 | the Alexandria database | meta-GGA SCAN | PBEsol geometry; mass density = 8.92 Mg/m³; excess energy over the best structure of this formula in the dataset = 0.0 kJ/mol of atoms; calculated formation energy = 0.7089 eV per atom
1.0
1.5833 -2.3050 0.0000
1.5833 2.3050 0.0000
0.0000 0.0000 10.5099
K Ta Mo
1 1 2
direct
0.0000 0.0000 0.0000 K
0.0000 0.0000 0.5000 Ta
0.5000 0.5000 0.2919 Mo
0.5000 0.5000 0.7081 Mo

***

KTc2Mo | the Alexandria database | meta-GGA SCAN | PBEsol geometry; mass density = 7.92 Mg/m³; excess energy over the best structure of this formula in the dataset = 0.0 kJ/mol of atoms; calculated formation energy = 0.7956 eV per atom
1.0
1.5076 -2.2271 0.0000
1.5076 2.2271 0.0000
0.0000 0.0000 10.3358
K Tc Mo
1 2 1
direct
0.0000 0.0000 0.0000 K
0.0000 0.0000 0.4880 Tc
0.5000 0.5000 0.2836 Tc
0.5000 0.5000 0.6971 Mo

***

KTcMo2 | the Alexandria database | meta-GGA SCAN | PBEsol geometry; mass density = 7.62 Mg/m³; excess energy over the best structure of this formula in the dataset = 0.0 kJ/mol of atoms; calculated formation energy = 0.7221 eV per atom
1.0
1.5610 -2.2467 0.0000
1.5610 2.2467 0.0000
0.0000 0.0000 10.2185
K Tc Mo
1 1 2
direct
0.0000 0.0000 0.0000 K
0.5000 0.5000 0.2842 Tc
0.0000 0.0000 0.4862 Mo
0.5000 0.5000 0.6938 Mo

***

KTcMo2 | the Alexandria database | meta-GGA SCAN | PBEsol geometry; mass density = 7.59 Mg/m³; excess energy over the best structure of this formula in the dataset = 13.7 kJ/mol of atoms; calculated formation energy = 0.8646 eV per atom
1.0
1.4050 0.8112 10.5211
-1.4050 0.8112 10.5211
0.0000 -1.6223 10.5211
K Tc Mo
1 1 2
direct
0.0000 0.0000 0.0000 K
0.5000 0.5000 0.5000 Tc
0.2345 0.2345 0.2345 Mo
0.7655 0.7655 0.7655 Mo

***

KTcMo2 | the Alexandria database | meta-GGA SCAN | PBEsol geometry; mass density = 8.03 Mg/m³; excess energy over the best structure of this formula in the dataset = 114.1 kJ/mol of atoms; calculated formation energy = 1.9048 eV per atom
1.0
3.7466 0.0000 0.0000
0.0000 3.7466 0.0000
0.0000 0.0000 4.8493
K Tc Mo
1 1 2
direct
0.0000 0.0000 0.0000 K
0.5000 0.5000 0.0000 Tc
0.0000 0.5000 0.5000 Mo
0.5000 0.0000 0.5000 Mo

***

KTc2Mo | the Alexandria database | meta-GGA SCAN | PBEsol geometry; mass density = 6.86 Mg/m³; excess energy over the best structure of this formula in the dataset = 3.0 kJ/mol of atoms; calculated formation energy = 0.8265 eV per atom
1.0
3.0923 0.0000 0.0000
0.0000 3.0923 0.0000
0.0000 0.0000 8.3738
K Tc Mo
1 2 1
direct
0.0000 0.0000 0.0000 K
0.5000 0.5000 0.3365 Tc
0.5000 0.5000 0.6635 Tc
0.0000 0.0000 0.5000 Mo

***

KTe4Mo | the Alexandria database | meta-GGA SCAN | PBEsol geometry; mass density = 5.81 Mg/m³; E_form (uncorrected) = 522.5 meV per atom
1.0
0.0000 4.5183 4.5183
4.5183 0.0000 4.5183
4.5183 4.5183 0.0000
K Te Mo
1 4 1
direct
0.0000 0.0000 0.0000 K
0.3759 0.3759 0.3759 Te
0.3759 0.3759 0.8722 Te
0.3759 0.8722 0.3759 Te
0.8722 0.3759 0.3759 Te
0.7500 0.7500 0.7500 Mo

***

KTeMo4 | the Alexandria database | meta-GGA SCAN | PBEsol geometry; mass density = 8.18 Mg/m³; E_form (uncorrected) = 1073.7 meV per atom
1.0
0.0000 3.8222 3.8222
3.8222 0.0000 3.8222
3.8222 3.8222 0.0000
K Te Mo
1 1 4
direct
0.0000 0.0000 0.0000 K
0.7500 0.7500 0.7500 Te
0.3761 0.3761 0.3761 Mo
0.3761 0.3761 0.8718 Mo
0.3761 0.8718 0.3761 Mo
0.8718 0.3761 0.3761 Mo

***

KTe3Mo3 | the Alexandria database | meta-GGA SCAN | PBEsol geometry; mass density = 6.50 Mg/m³; E_form (uncorrected) = -547.6 meV per atom
1.0
9.5796 0.0000 0.0000
-4.7898 8.2962 0.0000
0.0000 0.0000 4.5655
K Te Mo
2 6 6
direct
0.3333 0.6667 0.2500 K
0.6667 0.3333 0.7500 K
0.0612 0.6973 0.7500 Te
0.3027 0.3640 0.7500 Te
0.3640 0.0612 0.2500 Te
0.6360 0.9388 0.7500 Te
0.6973 0.6360 0.2500 Te
0.9388 0.3027 0.2500 Te
0.0295 0.8581 0.2500 Mo
0.1419 0.1714 0.2500 Mo
0.1714 0.0295 0.7500 Mo
0.8286 0.9705 0.2500 Mo
0.8581 0.8286 0.7500 Mo
0.9705 0.1419 0.7500 Mo

***

KTeMo2 | the Alexandria database | meta-GGA SCAN | PBEsol geometry; mass density = 6.33 Mg/m³; E_form (uncorrected) = 939.8 meV per atom
1.0
2.8872 0.0000 0.0000
0.0000 5.3470 0.0000
-0.0518 0.0000 6.0890
K Te Mo
1 1 2
direct
0.0000 0.0000 0.0000 K
0.5000 0.0000 0.5000 Te
0.3789 0.5000 0.3269 Mo
0.6211 0.5000 0.6731 Mo

***

KTeMo2 | the Alexandria database | meta-GGA SCAN | PBEsol geometry; mass density = 7.02 Mg/m³; E_form (uncorrected) = 1085.1 meV per atom
1.0
-1.4169 2.6429 5.6640
1.4169 -2.6429 5.6640
1.4169 2.6429 -5.6640
K Te Mo
1 1 2
direct
0.0000 0.0000 0.0000 K
0.5000 0.5000 0.0000 Te
0.2894 0.7894 0.5000 Mo
0.7106 0.2106 0.5000 Mo